## RbSiB (PBE)

Data for a geometry-optimized RbSiB structure. Values from VASP.

Geometry as Quantum ESPRESSO input:
```
&SYSTEM
  ibrav = 0, nat = 6, ntyp = 3
/
ATOMIC_SPECIES
Rb 85.47 Rb.upf
B 10.81 B.upf
Si 28.09 Si.upf
CELL_PARAMETERS angstrom
11.412 0.000 0.000
0.000 3.549 0.000
5.706 1.774 3.098
ATOMIC_POSITIONS crystal
Rb 0.750 0.000 0.000
Rb 0.250 0.000 0.000
B 0.139 0.639 0.722
B 0.861 0.361 0.278
Si 0.306 0.306 0.388
Si 0.694 0.694 0.612
```

Computed properties:
Uncorrected formation energy (kJ per mole of atoms): 17.41
Density of states at the Fermi level (states/eV/atom): 0.15
SG: Immm (71)
V (Å³/f.u.): 63


## Cs2RbI6N (PBE)

Data for a geometry-optimized Cs2RbI6N structure. Values from VASP.

Geometry as Quantum ESPRESSO input:
```
&SYSTEM
  ibrav = 0, nat = 10, ntyp = 4
/
ATOMIC_SPECIES
I 126.90 I.upf
N 14.01 N.upf
Rb 85.47 Rb.upf
Cs 132.91 Cs.upf
CELL_PARAMETERS angstrom
8.618 0.000 0.000
0.000 8.618 0.000
4.309 4.309 6.094
ATOMIC_POSITIONS crystal
I 0.714 0.714 0.000
I 0.714 0.714 0.573
I 0.714 0.286 0.000
I 0.286 0.714 0.000
I 0.286 0.286 0.427
I 0.286 0.286 0.000
N 0.500 0.500 0.000
Rb 0.000 0.000 0.000
Cs 0.750 0.250 0.500
Cs 0.250 0.750 0.500
```

Computed properties:
Uncorrected formation energy (kJ per mole of atoms): -37.05
Density of states at the Fermi level (states/eV/atom): 0.00
SG: Fm-3m (225)
V (Å³/f.u.): 453


## CeSc5Zn6 (PBE)

Data for a geometry-optimized CeSc5Zn6 structure. Values from VASP.

Geometry as Quantum ESPRESSO input:
```
&SYSTEM
  ibrav = 0, nat = 12, ntyp = 3
/
ATOMIC_SPECIES
Zn 65.41 Zn.upf
Sc 44.96 Sc.upf
Ce 140.12 Ce.upf
CELL_PARAMETERS angstrom
4.580 0.004 -1.409
-0.753 6.374 -2.429
0.041 -0.535 8.278
ATOMIC_POSITIONS crystal
Zn 0.827 0.562 0.655
Zn 0.173 0.438 0.345
Zn 0.827 0.092 0.655
Zn 0.500 0.723 0.000
Zn 0.173 0.908 0.345
Zn 0.500 0.277 0.000
Sc 0.340 0.840 0.680
Sc 0.330 0.330 0.661
Sc 0.660 0.160 0.320
Sc 0.000 0.500 0.000
Sc 0.670 0.670 0.339
Ce 0.000 0.000 0.000
```

Computed properties:
Density of states at the Fermi level (states/eV/atom): 1.36
SG: Immm (71)
V (Å³/f.u.): 236
ΔE_f (eV per atom): -0.310


## Zn3Cu2Ir2 (PBE)

Data for a geometry-optimized Zn3Cu2Ir2 structure. Values from VASP.

Geometry as Quantum ESPRESSO input:
```
&SYSTEM
  ibrav = 0, nat = 7, ntyp = 3
/
ATOMIC_SPECIES
Zn 65.41 Zn.upf
Ir 192.22 Ir.upf
Cu 63.55 Cu.upf
CELL_PARAMETERS angstrom
4.097 -0.407 -2.232
-0.259 4.530 0.343
-1.225 1.063 5.912
ATOMIC_POSITIONS crystal
Zn 0.000 0.000 0.000
Zn 0.729 0.159 0.423
Zn 0.271 0.841 0.577
Ir 0.152 0.416 0.286
Ir 0.848 0.584 0.714
Cu 0.571 0.717 0.143
Cu 0.429 0.283 0.857
```

Computed properties:
Density of states at the Fermi level (states/eV/atom): 0.45
SG: P-1 (2)
V (Å³/f.u.): 96
ΔE_f (eV per atom): -0.085


## Pa4Ge3Ru (PBE)

Data for a geometry-optimized Pa4Ge3Ru structure. Values from VASP.

Geometry as Quantum ESPRESSO input:
```
&SYSTEM
  ibrav = 0, nat = 8, ntyp = 3
/
ATOMIC_SPECIES
Pa 231.04 Pa.upf
Ge 72.64 Ge.upf
Ru 101.07 Ru.upf
CELL_PARAMETERS angstrom
-3.288 -1.689 1.684
2.339 -1.414 3.150
-1.834 8.924 5.369
ATOMIC_POSITIONS crystal
Pa 0.500 0.500 0.353
Pa 0.500 0.000 0.635
Pa 0.000 0.000 0.136
Pa 0.000 0.500 0.866
Ge 0.000 0.000 0.408
Ge 0.500 0.000 0.916
Ge 0.000 0.500 0.592
Ru 0.500 0.500 0.093
```

Computed properties:
Density of states at the Fermi level (states/eV/atom): 1.67
SG: Pmm2 (25)
V (Å³/f.u.): 179
ΔE_f (eV per atom): -0.449


## Tb3Tl2Au (PBE)

Data for a geometry-optimized Tb3Tl2Au structure. Values from VASP.

Geometry as Quantum ESPRESSO input:
```
&SYSTEM
  ibrav = 0, nat = 6, ntyp = 3
/
ATOMIC_SPECIES
Tb 158.93 Tb.upf
Tl 204.38 Tl.upf
Au 196.97 Au.upf
CELL_PARAMETERS angstrom
-1.446 -1.939 -2.674
-1.560 -2.172 2.419
-9.811 7.166 0.110
ATOMIC_POSITIONS crystal
Tb 0.000 0.000 0.648
Tb 0.000 0.000 0.352
Tb 0.000 0.000 0.000
Tl 0.500 0.500 0.175
Tl 0.500 0.500 0.825
Au 0.500 0.500 0.500
```

Computed properties:
Density of states at the Fermi level (states/eV/atom): 0.68
SG: P4/mmm (123)
V (Å³/f.u.): 158
ΔE_f (eV per atom): -0.521
Distance to the lowest polymorph of the same formula (meV/atom): 0


## AcLa2TbTl2 (PBE)

Data for a geometry-optimized AcLa2TbTl2 structure. Values from VASP.

Geometry as Quantum ESPRESSO input:
```
&SYSTEM
  ibrav = 0, nat = 12, ntyp = 4
/
ATOMIC_SPECIES
Ac 227.00 Ac.upf
La 138.91 La.upf
Tl 204.38 Tl.upf
Tb 158.93 Tb.upf
CELL_PARAMETERS angstrom
4.948 0.000 0.000
0.000 8.661 0.000
0.000 0.000 9.747
ATOMIC_POSITIONS crystal
Ac 0.000 0.981 0.419
Ac 0.000 0.481 0.581
La 0.000 0.367 0.173
La 0.500 0.535 0.918
La 0.500 0.035 0.082
La 0.000 0.867 0.827
Tl 0.500 0.772 0.620
Tl 0.000 0.244 0.866
Tl 0.000 0.744 0.134
Tl 0.500 0.272 0.380
Tb 0.500 0.646 0.315
Tb 0.500 0.146 0.685
```

Computed properties:
Density of states at the Fermi level (states/eV/atom): 0.95
SG: Pmc2_1 (26)
V (Å³/f.u.): 209
ΔE_f (eV per atom): -0.272


## YTa2HgI (PBE)

Data for a geometry-optimized YTa2HgI structure. Values from VASP.

Geometry as Quantum ESPRESSO input:
```
&SYSTEM
  ibrav = 0, nat = 5, ntyp = 4
/
ATOMIC_SPECIES
Ta 180.95 Ta.upf
I 126.90 I.upf
Hg 200.59 Hg.upf
Y 88.91 Y.upf
CELL_PARAMETERS angstrom
5.122 0.000 0.000
0.000 5.675 0.000
0.000 0.000 5.122
ATOMIC_POSITIONS crystal
Ta 0.500 0.000 0.000
Ta 0.000 0.000 0.500
I 0.500 0.500 0.500
Hg 0.000 0.000 0.000
Y 0.000 0.500 0.000
```

Computed properties:
Uncorrected formation energy (kJ per mole of atoms): 142.64
Density of states at the Fermi level (states/eV/atom): 1.30
SG: P4/mmm (123)
V (Å³/f.u.): 149


## TaTl3In (PBE)

Data for a geometry-optimized TaTl3In structure. Values from VASP.

Geometry as Quantum ESPRESSO input:
```
&SYSTEM
  ibrav = 0, nat = 5, ntyp = 3
/
ATOMIC_SPECIES
Tl 204.38 Tl.upf
Ta 180.95 Ta.upf
In 114.82 In.upf
CELL_PARAMETERS angstrom
-0.194 -0.286 5.517
-3.928 -3.874 -0.339
3.884 -3.932 -0.067
ATOMIC_POSITIONS crystal
Tl 0.000 0.500 0.000
Tl 0.000 0.000 0.500
Tl 0.500 0.000 0.000
Ta 0.000 0.000 0.000
In 0.500 0.500 0.500
```

Computed properties:
Density of states at the Fermi level (states/eV/atom): 0.76
SG: Pm-3m (221)
V (Å³/f.u.): 169
ΔE_f (eV per atom): 0.633
Distance to the lowest polymorph of the same formula (meV/atom): 0


## KB4F12 (PBE)

Data for a geometry-optimized KB4F12 structure. Values from VASP.

Geometry as Quantum ESPRESSO input:
```
&SYSTEM
  ibrav = 0, nat = 17, ntyp = 3
/
ATOMIC_SPECIES
B 10.81 B.upf
K 39.10 K.upf
F 19.00 F.upf
CELL_PARAMETERS angstrom
5.936 0.000 0.000
-1.979 5.597 0.000
-1.979 -2.798 4.847
ATOMIC_POSITIONS crystal
B 0.000 0.500 0.000
B 0.000 0.000 0.500
B 0.500 0.500 0.500
B 0.500 0.000 0.000
K 0.000 0.000 0.000
F 0.246 0.261 0.507
F 0.507 0.246 0.261
F 0.015 0.754 0.261
F 0.739 0.493 0.754
F 0.754 0.739 0.493
F 0.754 0.261 0.015
F 0.261 0.015 0.754
F 0.261 0.507 0.246
F 0.739 0.985 0.246
F 0.493 0.754 0.739
F 0.246 0.739 0.985
F 0.985 0.246 0.739
```

Computed properties:
Uncorrected formation energy (kJ per mole of atoms): -161.39
Density of states at the Fermi level (states/eV/atom): 0.16
SG: Im-3 (204)
V (Å³/f.u.): 161


## BeCdGe (PBE)

Data for a geometry-optimized BeCdGe structure. Values from VASP.

Geometry as Quantum ESPRESSO input:
```
&SYSTEM
  ibrav = 0, nat = 12, ntyp = 3
/
ATOMIC_SPECIES
Be 9.01 Be.upf
Ge 72.64 Ge.upf
Cd 112.41 Cd.upf
CELL_PARAMETERS angstrom
-4.692 0.172 -5.216
2.686 -1.338 -2.461
-2.343 -8.089 1.841
ATOMIC_POSITIONS crystal
Be 0.576 0.250 0.484
Be 0.076 0.250 0.016
Be 0.424 0.750 0.516
Be 0.924 0.750 0.984
Ge 0.251 0.250 0.474
Ge 0.751 0.250 0.026
Ge 0.749 0.750 0.526
Ge 0.249 0.750 0.974
Cd 0.415 0.250 0.182
Cd 0.915 0.250 0.318
Cd 0.585 0.750 0.818
Cd 0.085 0.750 0.682
```

Computed properties:
Density of states at the Fermi level (states/eV/atom): 0.25
SG: Pnma (62)
V (Å³/f.u.): 59
ΔE_f (eV per atom): 0.271
Distance to the lowest polymorph of the same formula (meV/atom): 84


## LaDyTlZn (PBE)

Data for a geometry-optimized LaDyTlZn structure. Values from VASP.

Geometry as Quantum ESPRESSO input:
```
&SYSTEM
  ibrav = 0, nat = 4, ntyp = 4
/
ATOMIC_SPECIES
Tl 204.38 Tl.upf
Zn 65.41 Zn.upf
Dy 162.50 Dy.upf
La 138.91 La.upf
CELL_PARAMETERS angstrom
-2.268 -2.638 -1.378
2.650 -2.578 0.575
-2.790 -1.292 7.064
ATOMIC_POSITIONS crystal
Tl 0.500 0.500 0.128
Zn 0.500 0.500 0.583
Dy 0.000 0.000 0.381
La 0.000 0.000 0.836
```

Computed properties:
Density of states at the Fermi level (states/eV/atom): 0.87
SG: P4mm (99)
V (Å³/f.u.): 108
ΔE_f (eV per atom): -0.362
Distance to the lowest polymorph of the same formula (meV/atom): 0


> Which of these has the lowest V?

BeCdGe


Copy entry 6 word for word.
## Tb3Tl2Au (PBE)

Data for a geometry-optimized Tb3Tl2Au structure. Values from VASP.

Geometry as Quantum ESPRESSO input:
```
&SYSTEM
  ibrav = 0, nat = 6, ntyp = 3
/
ATOMIC_SPECIES
Tb 158.93 Tb.upf
Tl 204.38 Tl.upf
Au 196.97 Au.upf
CELL_PARAMETERS angstrom
-1.446 -1.939 -2.674
-1.560 -2.172 2.419
-9.811 7.166 0.110
ATOMIC_POSITIONS crystal
Tb 0.000 0.000 0.648
Tb 0.000 0.000 0.352
Tb 0.000 0.000 0.000
Tl 0.500 0.500 0.175
Tl 0.500 0.500 0.825
Au 0.500 0.500 0.500
```

Computed properties:
Density of states at the Fermi level (states/eV/atom): 0.68
SG: P4/mmm (123)
V (Å³/f.u.): 158
ΔE_f (eV per atom): -0.521
Distance to the lowest polymorph of the same formula (meV/atom): 0


> What is the density of states at the Fermi level in the eleventh record?

0.25 states/eV/atom


> What is the formula in the fifth record?

Pa4Ge3Ru